1.
First-principles (PBE) data for a relaxed HfZnS2N crystal, as listed in the Alexandria database.

```
5
Lattice="4.656 0.000 0.000 0.000 4.656 0.000 0.000 0.000 3.697" Properties=species:S:1:pos:R:3 pbc="T T T"
N 0.000 0.000 1.849
S 2.328 0.000 0.000
S 0.000 2.328 0.000
Hf 2.328 2.328 1.849
Zn 0.000 0.000 0.000
```

Its total magnetization is 0.0 μB/f.u. Its relative energy among the computed polymorphs is 533 meV/atom. For the density of states at the Fermi level, the calculation gives 5.21 states/eV/f.u. Its formation energy from raw total energies is 0.43 eV per atom. The raw total energy is -5.13 eV per atom.

2.
First-principles (PBE) data for a relaxed LaCr2Ni crystal, as listed in the Alexandria database.

```
4
Lattice="-7.666 0.802 5.372 -8.756 -0.762 3.319 -7.397 -1.986 5.441" Properties=species:S:1:pos:R:3 pbc="T T T"
Cr -11.563 -0.945 6.861
Cr -0.346 -0.028 0.205
Ni -17.864 -1.460 10.600
La -5.955 -0.487 3.533
```

Its total magnetization is 0.0 μB/f.u. Its relative energy among the computed polymorphs is 745 meV/atom. For the density of states at the Fermi level, the calculation gives 4.55 states/eV/f.u. The raw total energy is -6.50 eV per atom.

3.
First-principles (PBE) data for a relaxed Cs2BeTl crystal, as listed in the Alexandria database.

```
8
Lattice="-7.089 7.089 2.347 7.089 -7.089 2.347 7.089 7.089 -2.347" Properties=species:S:1:pos:R:3 pbc="T T T"
Be 0.000 0.000 2.347
Be 0.000 7.089 1.173
Cs 3.545 8.001 0.587
Cs 3.545 -0.912 2.933
Cs 6.177 3.545 -0.587
Cs 0.912 3.545 1.760
Tl 0.000 0.000 0.000
Tl 7.089 0.000 1.173
```

Its total magnetization is 0.0 μB/f.u. Its relative energy among the computed polymorphs is 0 meV/atom. For the density of states at the Fermi level, the calculation gives 2.56 states/eV/f.u. The raw total energy is -1.63 eV per atom.

4.
First-principles (PBE) data for a relaxed Be3Zn crystal, as listed in the Alexandria database.

```
4
Lattice="2.470 0.000 0.000 -1.235 2.139 0.000 0.000 0.000 7.454" Properties=species:S:1:pos:R:3 pbc="T T T"
Be 0.000 0.000 3.558
Be 0.000 0.000 0.169
Be 1.235 0.713 1.863
Zn 1.235 0.713 5.590
```

Its total magnetization is 0.0 μB/f.u. For the density of states at the Fermi level, the calculation gives 0.42 states/eV/f.u. The raw total energy is -2.96 eV per atom.

5.
First-principles (PBE) data for a relaxed Li2MgAs crystal, as listed in the Alexandria database.

```
16
Lattice="6.041 0.000 0.003 0.000 4.378 0.000 -3.890 0.000 12.033" Properties=species:S:1:pos:R:3 pbc="T T T"
Li -2.622 2.189 8.262
Li 2.828 0.000 9.791
Li 4.587 2.189 0.403
Li -0.677 0.000 2.245
Li 2.642 0.000 6.419
Li -2.436 2.189 11.633
Li 4.773 2.189 3.775
Li -0.491 0.000 5.617
As -1.342 0.000 8.008
As 3.493 0.000 4.028
As 1.548 2.189 10.044
As 0.603 2.189 1.992
Mg 2.248 0.000 1.623
Mg 1.848 2.189 4.397
Mg 0.303 2.189 7.640
Mg -0.096 0.000 10.413
```

Its total magnetization is 0.0 μB/f.u. Its relative energy among the computed polymorphs is 16 meV/atom. For the density of states at the Fermi level, the calculation gives 0.03 states/eV/f.u. The raw total energy is -3.04 eV per atom.

6.
First-principles (PBE) data for a relaxed CsPSe2Br crystal, as listed in the Alexandria database.

```
5
Lattice="4.965 0.000 0.000 0.000 4.965 0.000 0.000 0.000 5.852" Properties=species:S:1:pos:R:3 pbc="T T T"
Se 2.482 0.000 0.000
Se 0.000 2.482 0.000
P 0.000 0.000 0.000
Br 0.000 0.000 2.926
Cs 2.482 2.482 2.926
```

Its total magnetization is 0.0 μB/f.u. Its relative energy among the computed polymorphs is 0 meV/atom. For the density of states at the Fermi level, the calculation gives 3.81 states/eV/f.u. Its formation energy from raw total energies is -0.34 eV per atom. The raw total energy is -3.32 eV per atom.

7.
First-principles (PBE) data for a relaxed TlSb3F18 crystal, as listed in the Alexandria database.

```
44
Lattice="-3.074 8.649 -2.846 -4.360 -7.942 -3.203 -5.616 0.286 6.936" Properties=species:S:1:pos:R:3 pbc="T T T"
F -7.874 -0.554 2.234
F -7.463 -2.677 -1.314
F -6.262 2.313 -4.014
F -5.292 -1.624 2.594
F -7.758 2.617 -1.707
F -7.273 1.687 0.918
F -9.570 -5.000 2.800
F -7.871 -4.729 0.634
F -7.199 6.492 2.230
F -9.882 2.085 0.239
F -5.176 1.546 -1.347
F -7.151 -3.265 2.932
F -5.323 -3.519 0.454
F -5.851 -5.500 -1.343
F -8.615 -0.375 -0.149
F -5.806 -2.697 -3.394
F -4.435 1.367 1.036
F -3.694 3.769 -0.239
F -6.788 -1.320 4.901
F -8.996 1.788 2.941
F -7.244 3.689 4.281
F -10.596 -0.144 1.769
F -5.179 5.721 0.253
F -5.777 -0.695 -0.031
F -9.356 -2.776 1.126
F -3.168 -1.093 0.648
F -7.727 4.512 0.433
F -5.587 3.669 2.201
F -9.362 4.647 2.526
F -3.688 -3.654 -1.639
F -3.480 5.992 -1.913
F -4.054 -0.795 -2.054
F -7.419 -0.407 -2.822
F -5.631 1.399 3.709
F -5.899 4.257 -2.045
F -2.454 1.136 -0.882
Tl -7.147 -2.248 0.888
Tl -5.903 3.241 -0.001
Sb -4.013 0.179 -0.443
Sb -9.037 0.814 1.330
Sb -7.622 -2.219 -3.267
Sb -8.767 5.978 1.336
Sb -4.283 -4.986 -0.449
Sb -5.428 3.211 4.154
```

Its total magnetization is 0.4 μB/f.u. For the density of states at the Fermi level, the calculation gives 0.00 states/eV/f.u. Its formation energy from raw total energies is -2.17 eV per atom. The raw total energy is -4.37 eV per atom.

8.
First-principles (PBE) data for a relaxed TbHoMgGa crystal, as listed in the Alexandria database.

```
4
Lattice="5.161 0.000 0.000 2.580 4.470 0.000 2.580 1.490 4.214" Properties=species:S:1:pos:R:3 pbc="T T T"
Ga 2.580 1.490 1.053
Tb 0.000 0.000 0.000
Mg 7.741 4.470 3.160
Ho 5.161 2.980 2.107
```

Its total magnetization is 0.0 μB/f.u. For the density of states at the Fermi level, the calculation gives 2.25 states/eV/f.u. The raw total energy is -3.80 eV per atom.

9.
First-principles (PBE) data for a relaxed ZrZn2Co4 crystal, as listed in the Alexandria database.

```
7
Lattice="-2.359 1.905 3.799 -4.675 1.667 -0.625 -2.731 -3.003 2.924" Properties=species:S:1:pos:R:3 pbc="T T T"
Zn -5.471 0.762 3.999
Zn -4.293 -0.192 2.099
Co -2.492 1.221 0.954
Co -7.273 -0.652 5.144
Co -1.763 -0.531 2.285
Co -8.002 1.100 3.813
Zr -4.675 1.667 -0.625
```

Its total magnetization is 4.6 μB/f.u. For the density of states at the Fermi level, the calculation gives 7.64 states/eV/f.u. The raw total energy is -5.73 eV per atom.

10.
First-principles (PBE) data for a relaxed SrErMg crystal, as listed in the Alexandria database.

```
3
Lattice="-2.031 2.745 0.832 -2.934 -0.685 -4.905 -1.710 -2.713 4.780" Properties=species:S:1:pos:R:3 pbc="T T T"
Sr -3.512 -0.154 2.122
Mg -0.021 0.029 0.009
Er -3.142 -0.528 -1.424
```

Its total magnetization is 0.0 μB/f.u. Its relative energy among the computed polymorphs is 120 meV/atom. For the density of states at the Fermi level, the calculation gives 3.41 states/eV/f.u. The raw total energy is -2.42 eV per atom.

11.
First-principles (PBE) data for a relaxed Na5AgHg crystal, as listed in the Alexandria database.

```
7
Lattice="-3.242 -2.937 2.715 1.898 -4.205 -2.285 5.319 -0.662 5.636" Properties=species:S:1:pos:R:3 pbc="T T T"
Ag 0.000 0.000 0.000
Na 2.660 -0.331 2.818
Na -1.131 -5.185 2.804
Na 2.536 -1.986 5.762
Na 5.106 -2.620 3.262
Na 1.439 -5.819 0.304
Hg 1.987 -3.902 3.033
```

Its total magnetization is 0.0 μB/f.u. Its relative energy among the computed polymorphs is 0 meV/atom. For the density of states at the Fermi level, the calculation gives 1.63 states/eV/f.u. The raw total energy is -1.46 eV per atom.

12.
First-principles (PBE) data for a relaxed RePPt2 crystal, as listed in the Alexandria database.

```
4
Lattice="-2.188 2.188 3.111 2.188 -2.188 3.111 2.188 2.188 -3.111" Properties=species:S:1:pos:R:3 pbc="T T T"
Re 0.000 0.000 3.111
Pt 0.000 0.000 0.000
Pt 2.188 0.000 1.556
P 0.000 2.188 1.556
```

Its total magnetization is 0.0 μB/f.u. Its relative energy among the computed polymorphs is 298 meV/atom. For the density of states at the Fermi level, the calculation gives 3.11 states/eV/f.u. The raw total energy is -7.28 eV per atom.

Copy entry 7 word for word.
First-principles (PBE) data for a relaxed TlSb3F18 crystal, as listed in the Alexandria database.

```
44
Lattice="-3.074 8.649 -2.846 -4.360 -7.942 -3.203 -5.616 0.286 6.936" Properties=species:S:1:pos:R:3 pbc="T T T"
F -7.874 -0.554 2.234
F -7.463 -2.677 -1.314
F -6.262 2.313 -4.014
F -5.292 -1.624 2.594
F -7.758 2.617 -1.707
F -7.273 1.687 0.918
F -9.570 -5.000 2.800
F -7.871 -4.729 0.634
F -7.199 6.492 2.230
F -9.882 2.085 0.239
F -5.176 1.546 -1.347
F -7.151 -3.265 2.932
F -5.323 -3.519 0.454
F -5.851 -5.500 -1.343
F -8.615 -0.375 -0.149
F -5.806 -2.697 -3.394
F -4.435 1.367 1.036
F -3.694 3.769 -0.239
F -6.788 -1.320 4.901
F -8.996 1.788 2.941
F -7.244 3.689 4.281
F -10.596 -0.144 1.769
F -5.179 5.721 0.253
F -5.777 -0.695 -0.031
F -9.356 -2.776 1.126
F -3.168 -1.093 0.648
F -7.727 4.512 0.433
F -5.587 3.669 2.201
F -9.362 4.647 2.526
F -3.688 -3.654 -1.639
F -3.480 5.992 -1.913
F -4.054 -0.795 -2.054
F -7.419 -0.407 -2.822
F -5.631 1.399 3.709
F -5.899 4.257 -2.045
F -2.454 1.136 -0.882
Tl -7.147 -2.248 0.888
Tl -5.903 3.241 -0.001
Sb -4.013 0.179 -0.443
Sb -9.037 0.814 1.330
Sb -7.622 -2.219 -3.267
Sb -8.767 5.978 1.336
Sb -4.283 -4.986 -0.449
Sb -5.428 3.211 4.154
```

Its total magnetization is 0.4 μB/f.u. For the density of states at the Fermi level, the calculation gives 0.00 states/eV/f.u. Its formation energy from raw total energies is -2.17 eV per atom. The raw total energy is -4.37 eV per atom.

> The lowest raw total energy belongs to which entry?

RePPt2

> Which formula does entry 4 have?

Be3Zn